No. 1
This record from Alexandria describes Nd4S4Cl2O at its PBEsol-relaxed geometry. The functional is SCAN.

Lattice parameters (Å, degrees): 6.802 9.013 9.137 60.45 90.00 90.00
Fractional positions:
Nd: 0.238 0.805 0.389
Nd: 0.257 0.392 0.802
Nd: 0.257 0.806 0.802
Nd: 0.738 0.195 0.611
Nd: 0.757 0.608 0.198
Nd: 0.757 0.194 0.198
Nd: 0.789 0.684 0.633
Nd: 0.289 0.316 0.367
S: 0.542 0.539 0.923
S: 0.519 0.949 0.521
S: 0.519 0.530 0.521
S: 0.042 0.461 0.077
S: 0.019 0.051 0.479
S: 0.019 0.470 0.479
S: 0.858 0.869 0.262
S: 0.358 0.131 0.738
Cl: 0.862 0.266 0.868
Cl: 0.862 0.866 0.868
Cl: 0.362 0.734 0.132
Cl: 0.362 0.134 0.132
O: 0.132 0.667 0.665
O: 0.632 0.333 0.335

Results
Spin magnetization, μB per formula unit: 0.00
E, eV/cell: -528.672
Formation energy from raw total energies, meV/atom: -2664

***

No. 2
This record from Alexandria describes ScInHg2 at its PBEsol-relaxed geometry. The functional is SCAN.

Lattice parameters (Å, degrees): 3.096 4.668 6.073 90.00 89.93 90.00
Site moments in Bohr magnetons follow the coordinates.
Fractional positions:
Sc: 0.000 0.500 0.500  0.27
Hg: 0.499 0.000 0.732  0.00
Hg: 0.501 0.000 0.268  0.00
In: 0.500 0.500 0.000  0.00

Results
Formation energy, eV per atom: -0.306
Spin magnetization, μB per formula unit: 0.40
E, eV/cell: -185.181

***

> Look up the E of the second one.

-185.181 eV/cell

***

> The lowest E belongs to which entry?

Nd4S4Cl2O

***

> What is the formula in the second record?

ScInHg2